DFT (GGA-PBE) results for an optimized crystal structure of CaAc2Mg. Values from VASP.

The calculation puts the formation enthalpy at 0 K at -0.0117 eV/atom. The calculation puts the density of states at the Fermi level at 10.48 states/eV per cell.

Geometry as Quantum ESPRESSO input:
```
&SYSTEM
  ibrav = 0, nat = 8, ntyp = 3
/
ATOMIC_SPECIES
Ac 227.00 Ac.upf
Mg 24.30 Mg.upf
Ca 40.08 Ca.upf
ATOMIC_POSITIONS crystal
Ac 0.859 0.859 0.219
Ac 0.000 0.500 0.500
Ac 0.500 0.000 0.500
Ac 0.141 0.141 0.781
Mg 0.750 0.250 0.000
Mg 0.250 0.750 0.000
Ca 0.647 0.647 0.795
Ca 0.353 0.353 0.205
CELL_PARAMETERS angstrom
5.432 0.017 -1.508
-0.436 5.414 -1.508
-0.006 -0.007 10.526
```